1.
DFT (PBE) results for Dy2PuSc4 after structural relaxation.

**DOS at the Fermi energy**: 31.3 states/eV/cell
**V**: 29.05 Å³ per atom

abc: 5.8970 12.7620 5.4032
angles: 90.00 90.00 90.00
With the nearest neighbours (Å) after each atom.
Space group Cmmm (No. 65)
One atom of each set of equivalent atoms:
Dy 0.0000 0.1188 0.0000 [4 per cell]  5 Sc 2.95-3.25, 1 Dy 3.03
Pu 0.0000 0.5000 0.5000 [2 per cell]  6 Sc 3.14-3.15
Sc 0.0000 0.2541 0.5000 [4 per cell]  4 Sc 2.95-3.10, 1 Pu 3.14, 2 Dy 3.21
Sc 0.0000 0.3737 0.0000 [4 per cell]  3 Dy 2.95-3.25, 3 Sc 3.10-3.22, 2 Pu 3.15

2.
DFT (PBE) results for Ho4CuPdRu2 after structural relaxation.

**DOS at the Fermi energy**: 8.8 states/eV/cell
**V**: 20.10 Å³ per atom

abc: 4.8387 4.8387 23.7876
angles: 90.00 90.00 120.00
With the nearest neighbours (Å) after each atom.
Space group R-3m (No. 166, hexagonal axes)
One atom of each set of equivalent atoms:
Ho 0.0000 0.0000 0.1244 [6 per cell]  1 Cu 2.96, 4 Ru 2.96-3.00, 3 Pd 2.97
Ho 0.0000 0.0000 0.3746 [6 per cell]  4 Ru 2.95-2.96, 3 Cu 2.96, 1 Pd 2.98
Cu 0.0000 0.0000 0.0000 [3 per cell]  8 Ho 2.96
Pd 0.0000 0.0000 0.5000 [3 per cell]  8 Ho 2.97-2.98
Ru 0.0000 0.0000 0.2505 [6 per cell]  8 Ho 2.95-3.00

3.
DFT (PBE) results for LiCeNdTc after structural relaxation.

**DOS at the Fermi energy**: 20.3 states/eV/cell
**V**: 22.43 Å³ per atom

abc: 7.1060 7.1060 7.1060
angles: 90.00 90.00 90.00
With the nearest neighbours (Å) after each atom.
Space group F-43m (No. 216)
One atom of each set of equivalent atoms:
Li 0.0000 0.0000 0.0000 [4 per cell]  4 Nd 3.08, 4 Ce 3.08
Ce 0.2500 0.2500 0.2500 [4 per cell]  4 Li 3.08, 4 Tc 3.08
Nd 0.2500 0.2500 0.7500 [4 per cell]  4 Li 3.08, 4 Tc 3.08
Tc 0.0000 0.0000 0.5000 [4 per cell]  4 Ce 3.08, 4 Nd 3.08

Number 1: calculated total energy -0.47050 Ry/atom. Number 2: calculated total energy -0.46262 Ry/atom. Number 3: calculated total energy -0.41692 Ry/atom.